# LaSbRh2

An optimized crystal structure of LaSbRh2 (PBE-GGA, Alexandria).

Cell lengths 3.9049, 3.9049, 5.5847 Å; angles 90.00, 90.00, 90.00 degrees
Space group P4mm (No. 99)
Symmetry-distinct sites (fractional):
La 0.0000 0.0000 0.0000
Sb 0.5000 0.5000 0.6280
Rh 0.0000 0.0000 0.5006
Rh 0.5000 0.5000 0.1502

Output
Formation energy without anion corrections, eV per atom: -0.54
N(E_F), states/eV per atom: 0.44

# La5SbRh2

An optimized crystal structure of La5SbRh2 (PBE-GGA, Alexandria).

Cell lengths 8.1652, 8.1652, 13.8678 Å; angles 90.00, 90.00, 90.00 degrees
Space group I4/mcm (No. 140)
Symmetry-distinct sites (fractional):
La 0.0000 0.0000 0.0000
La 0.1584 0.3416 0.1366
Sb 0.0000 0.0000 0.2500
Rh 0.1424 0.3576 0.5000

Output
Formation energy without anion corrections, eV per atom: -0.75
N(E_F), states/eV per atom: 1.02

# La3Sb5Rh6

An optimized crystal structure of La3Sb5Rh6 (PBE-GGA, Alexandria).

Cell lengths 4.3720, 13.3761, 10.4088 Å; angles 90.00, 90.00, 90.00 degrees
Space group Pmmn (No. 59, origin choice 2)
Symmetry-distinct sites (fractional):
La 0.2500 0.0803 0.2456
La 0.2500 0.7500 0.2500
Sb 0.2500 0.0815 0.6428
Sb 0.2500 0.6279 0.9812
Sb 0.2500 0.7500 0.6457
Rh 0.2500 0.0580 0.8942
Rh 0.2500 0.2500 0.0012
Rh 0.2500 0.2500 0.5046
Rh 0.2500 0.5838 0.4977

Output
Formation energy without anion corrections, eV per atom: -0.85
N(E_F), states/eV per atom: 0.65

# La3Sb2Rh6

An optimized crystal structure of La3Sb2Rh6 (PBE-GGA, Alexandria).

Cell lengths 9.6621, 9.6621, 9.6621 Å; angles 90.00, 90.00, 90.00 degrees
Space group Im-3m (No. 229)
Symmetry-distinct sites (fractional):
La 0.0000 0.0000 0.2882
Sb 0.2500 0.2500 0.2500
Rh 0.0000 0.3501 0.3501

Output
Formation energy without anion corrections, eV per atom: -0.77
N(E_F), states/eV per atom: 0.70

# LaSbRh2

An optimized crystal structure of LaSbRh2 (PBE-GGA, Alexandria).

Cell lengths 7.8599, 7.0069, 6.1868 Å; angles 90.00, 90.00, 90.00 degrees
Space group Pnma (No. 62)
Symmetry-distinct sites (fractional):
La 0.0334 0.2500 0.1686
Sb 0.1203 0.7500 0.3307
Rh 0.1698 0.0482 0.5853

Output
Formation energy without anion corrections, eV per atom: -0.81
N(E_F), states/eV per atom: 0.58

# La5Sb2Rh

An optimized crystal structure of La5Sb2Rh (PBE-GGA, Alexandria).

Cell lengths 8.3106, 10.7454, 6.8638 Å; angles 90.00, 125.49, 90.00 degrees
Space group Cm (No. 8)
Symmetry-distinct sites (fractional):
La 0.0000 0.0000 0.0000
La 0.0013 0.5000 0.4004
La 0.0052 0.5000 0.9727
La 0.2551 0.2552 0.5046
Sb 0.2653 0.2398 0.0174
Rh 0.1745 0.0000 0.4813

Output
Relative energy among the computed polymorphs, eV/atom: 0.264
Formation energy without anion corrections, eV per atom: -0.65
N(E_F), states/eV per atom: 0.77

What did the second record say?
# La5SbRh2

An optimized crystal structure of La5SbRh2 (PBE-GGA, Alexandria).

Cell lengths 8.1652, 8.1652, 13.8678 Å; angles 90.00, 90.00, 90.00 degrees
Space group I4/mcm (No. 140)
Symmetry-distinct sites (fractional):
La 0.0000 0.0000 0.0000
La 0.1584 0.3416 0.1366
Sb 0.0000 0.0000 0.2500
Rh 0.1424 0.3576 0.5000

Output
Formation energy without anion corrections, eV per atom: -0.75
N(E_F), states/eV per atom: 1.02

Q: Number 4 is which compound?
A: La3Sb2Rh6

Q: Which value of formation energy without anion corrections does entry 4 give?
A: -0.77 eV per atom

Q: The lowest N(E_F) belongs to which entry?
A: number 1